DFT (PBE) results for a relaxed structure of Pr2Si3Au6.

Cell lengths 7.7205, 7.7205, 4.3791 Å; angles 90.00, 90.00, 120.00 degrees
Fractional coordinates of all 11 atoms:
Pr: 0.3333 0.6667 0.0000
Pr: 0.6667 0.3333 0.0000
Si: 0.0000 0.3528 0.5000
Si: 0.3528 0.0000 0.5000
Si: 0.6472 0.6472 0.5000
Au: 0.0000 0.2123 0.0000
Au: 0.0000 0.6714 0.5000
Au: 0.2123 0.0000 0.0000
Au: 0.3286 0.3286 0.5000
Au: 0.6714 0.0000 0.5000
Au: 0.7877 0.7877 0.0000

Properties
- formation energy without anion corrections (kJ per mole of atoms) = -54
- volume (A^3/atom) = 20.550
- density of states at the Fermi level (states/eV/atom) = 0.402
- final energy (eV per cell) = -51.6
- size of the total moment (μB/atom) = 0.000